1.
Computed, not measured: a relaxed Nd2TmS4 crystal at the PBE-GGA level of DFT.

Cell: 7.224 11.357 4.099 Å, 90.00 90.00 90.00°
Space group Pbam (No. 55)
Unique sites:
Nd1 0.100 0.185 0.000 [4 per cell]
Tm1 0.000 0.500 0.500 [2 per cell]
S1 0.129 0.718 0.500 [4 per cell]
S2 0.240 0.449 0.000 [4 per cell]

## Properties
polymorph energy (0 for the lowest one)	0.00	kJ/mol of atoms
calculated density	5.78	Mg/m³
uncorrected formation energy	-2051	meV/atom



2.
Computed, not measured: a relaxed Nd3TmS6 crystal at the PBE-GGA level of DFT.

Cell: 11.7709 11.7709 13.8582 Å, 90.00 90.00 120.00°
Space group R-3 (No. 148, hexagonal axes)
Unique sites:
Nd1 0.0486 0.2703 0.2021 [18 per cell]
Tm1 0.0000 0.0000 0.0000 [3 per cell]
Tm2 0.0000 0.0000 0.5000 [3 per cell]
S1 0.0227 0.2084 0.4000 [18 per cell]
S2 0.0310 0.1906 0.8798 [18 per cell]

## Properties
calculated density	4.76	Mg/m³
uncorrected formation energy	-2058	meV/atom



3.
Computed, not measured: a relaxed NdTmS3 crystal at the PBE-GGA level of DFT.

Cell: 11.004 3.946 21.480 Å, 90.00 101.47 90.00°
Space group P2_1/m (No. 11)
Unique sites:
Nd1 0.089 0.250 0.363 [2 per cell]
Nd2 0.202 0.250 0.037 [2 per cell]
Nd3 0.305 0.750 0.733 [2 per cell]
Nd4 0.307 0.250 0.233 [2 per cell]
Tm1 0.031 0.250 0.852 [2 per cell]
Tm2 0.180 0.250 0.546 [2 per cell]
Tm3 0.447 0.250 0.916 [2 per cell]
Tm4 0.477 0.750 0.412 [2 per cell]
S1 0.037 0.250 0.229 [2 per cell]
S2 0.058 0.750 0.945 [2 per cell]
S3 0.084 0.750 0.462 [2 per cell]
S4 0.127 0.250 0.663 [2 per cell]
S5 0.204 0.750 0.135 [2 per cell]
S6 0.251 0.750 0.326 [2 per cell]
S7 0.255 0.250 0.823 [2 per cell]
S8 0.342 0.750 0.599 [2 per cell]
S9 0.356 0.750 0.986 [2 per cell]
S10 0.363 0.250 0.464 [2 per cell]
S11 0.452 0.250 0.134 [2 per cell]
S12 0.496 0.250 0.720 [2 per cell]

## Properties
polymorph energy (0 for the lowest one)	0.00	kJ/mol of atoms
calculated density	5.95	Mg/m³
uncorrected formation energy	-2077	meV/atom



4.
Computed, not measured: a relaxed Nd6TmS8 crystal at the PBE-GGA level of DFT.

Cell: 11.455 11.455 11.455 Å, 90.00 90.00 90.00°
Space group Fm-3m (No. 225)
Unique sites:
Nd1 0.000 0.250 0.250 [24 per cell]
Tm1 0.000 0.000 0.000 [4 per cell]
S1 0.000 0.000 0.240 [24 per cell]
S2 0.250 0.250 0.250 [8 per cell]

## Properties
calculated density	5.70	Mg/m³
uncorrected formation energy	-2050	meV/atom



5.
Computed, not measured: a relaxed Nd2TmS3 crystal at the PBE-GGA level of DFT.

Cell: 6.881 11.949 6.974 Å, 90.00 109.26 90.00°
Space group C2/m (No. 12)
Unique sites:
Nd1 0.000 0.000 0.000 [2 per cell]
Nd2 0.000 0.161 0.500 [4 per cell]
Nd3 0.000 0.500 0.500 [2 per cell]
Tm1 0.000 0.334 0.000 [4 per cell]
S1 0.231 0.500 0.232 [4 per cell]
S2 0.248 0.327 0.763 [8 per cell]

## Properties
polymorph energy (0 for the lowest one)	0.00	kJ/mol of atoms
calculated density	6.79	Mg/m³
uncorrected formation energy	-1998	meV/atom



6.
Computed, not measured: a relaxed Nd4Tm11S22 crystal at the PBE-GGA level of DFT.

Cell: 38.940 3.922 11.293 Å, 90.00 91.60 90.00°
Space group C2/m (No. 12)
Unique sites:
Nd1 0.105 0.000 0.013 [4 per cell]
Nd2 0.132 0.500 0.650 [4 per cell]
Tm1 0.000 0.000 0.000 [2 per cell]
Tm2 0.039 0.500 0.731 [4 per cell]
Tm3 0.070 0.000 0.360 [4 per cell]
Tm4 0.158 0.500 0.301 [4 per cell]
Tm5 0.202 0.000 0.942 [4 per cell]
Tm6 0.235 0.500 0.647 [4 per cell]
S1 0.008 0.000 0.241 [4 per cell]
S2 0.047 0.500 0.970 [4 per cell]
S3 0.057 0.500 0.509 [4 per cell]
S4 0.088 0.000 0.755 [4 per cell]
S5 0.093 0.500 0.212 [4 per cell]
S6 0.135 0.000 0.452 [4 per cell]
S7 0.150 0.500 0.907 [4 per cell]
S8 0.169 0.000 0.151 [4 per cell]
S9 0.188 0.000 0.691 [4 per cell]
S10 0.220 0.500 0.408 [4 per cell]
S11 0.245 0.500 0.880 [4 per cell]

## Properties
calculated density	6.05	Mg/m³
uncorrected formation energy	-2095	meV/atom